# 1
First-principles (PBE) data for NpCoH8Pd2 after structural relaxation, as listed in Alexandria via LeMat-Bulk.

a = 4.6958 Å, b = 4.6144 Å, c = 5.6086 Å
α = 52.84°, β = 89.63°, γ = 89.81°
Closest atoms and distances in Å follow each position.
Positions (direct):
H: 0.7120 0.0026 0.1555  1 Co 1.61
H: 0.1526 0.6580 0.3114  1 Co 1.65, 1 Pd 1.81
H: 0.8474 0.3420 0.6886  1 Co 1.65, 1 Pd 1.81
H: 0.8454 0.6596 0.0279  1 Co 1.65, 1 Pd 1.81
H: 0.1546 0.3404 0.9721  1 Co 1.65, 1 Pd 1.81
H: 0.4998 0.8455 0.5756  1 H 1.14
H: 0.5002 0.1545 0.4244  1 H 1.14
H: 0.2880 0.9974 0.8445  1 Co 1.61
Pd: 0.5001 0.3844 0.8070  3 H 1.70-1.81
Pd: 0.4999 0.6156 0.1930  3 H 1.70-1.81
Co: 0.0000 0.0000 0.0000  6 H 1.61-1.65
Np: 0.0000 0.0000 0.5000  12 H 2.36-2.64

Summary:
Space group: P-1
D(E_F): 0.766 states/eV/atom

***

# 2
First-principles (PBE) data for Np2Co3H12Rh after structural relaxation, as listed in Alexandria via LeMat-Bulk.

a = 5.8552 Å, b = 5.8552 Å, c = 5.8552 Å
α = 58.50°, β = 58.50°, γ = 58.50°
Closest atoms and distances in Å follow each position.
Positions (direct):
H: 0.1276 0.6674 0.6674  2 Co 1.60
H: 0.8724 0.3326 0.3326  2 Co 1.60
H: 0.1041 0.6278 0.1041  1 Co 1.63, 1 Rh 1.76
H: 0.6674 0.1276 0.6674  2 Co 1.60
H: 0.8959 0.8959 0.3722  1 Co 1.63, 1 Rh 1.76
H: 0.6278 0.1041 0.1041  1 Co 1.63, 1 Rh 1.76
H: 0.1041 0.1041 0.6278  1 Co 1.63, 1 Rh 1.76
H: 0.3326 0.3326 0.8724  2 Co 1.60
H: 0.8959 0.3722 0.8959  1 Co 1.63, 1 Rh 1.76
H: 0.3722 0.8959 0.8959  1 Co 1.63, 1 Rh 1.76
H: 0.3326 0.8724 0.3326  2 Co 1.60
H: 0.6674 0.6674 0.1276  2 Co 1.60
Co: 0.5000 0.0000 0.0000  6 H 1.60-1.63
Co: 0.0000 0.0000 0.5000  6 H 1.60-1.63
Co: 0.0000 0.5000 0.0000  6 H 1.60-1.63
Np: 0.6129 0.6129 0.6129  9 H 2.30-2.55
Np: 0.3871 0.3871 0.3871  9 H 2.30-2.55
Rh: 0.0000 0.0000 0.0000  6 H 1.76

Summary:
Space group: R-3m
D(E_F): 1.120 states/eV/atom

***

# 3
First-principles (PBE) data for NpCoSbH after structural relaxation, as listed in Alexandria via LeMat-Bulk.

a = 4.2466 Å, b = 4.2472 Å, c = 4.1008 Å
α = 90.00°, β = 90.00°, γ = 120.00°
Closest atoms and distances in Å follow each position.
Positions (direct):
Co: 0.2385 0.4770 0.7079  1 H 1.60
Np: 0.5719 0.1438 0.3528  3 H 2.46
Sb: 0.9052 0.8105 0.8611  3 Co 2.53
H: 0.2387 0.4773 0.3173  1 Co 1.60

Summary:
Space group: P3m1
D(E_F): 2.216 states/eV/atom

***

# 4
First-principles (PBE) data for NpCo2SiH after structural relaxation, as listed in Alexandria via LeMat-Bulk.

a = 3.7823 Å, b = 5.5299 Å, c = 6.2663 Å
α = 90.00°, β = 90.00°, γ = 110.00°
Closest atoms and distances in Å follow each position.
Positions (direct):
H: 0.0000 0.0000 0.5000  2 Co 1.71
H: 0.0000 0.0000 0.0000  2 Co 1.71
Co: 0.8378 0.6755 0.0455  1 H 1.71
Co: 0.8378 0.6755 0.4545  1 H 1.71
Co: 0.1622 0.3245 0.9545  1 H 1.71
Co: 0.1622 0.3245 0.5455  1 H 1.71
Np: 0.5768 0.1535 0.2500  4 H 2.58, 4 Co 2.79
Np: 0.4232 0.8465 0.7500  4 H 2.58, 4 Co 2.79
Si: 0.2965 0.5931 0.2500  6 Co 2.32
Si: 0.7035 0.4069 0.7500  6 Co 2.32

Summary:
Space group: Cmcm
D(E_F): 1.643 states/eV/atom

***

# 5
First-principles (PBE) data for Np2ZnCo3H12 after structural relaxation, as listed in Alexandria via LeMat-Bulk.

a = 5.7260 Å, b = 5.7260 Å, c = 5.7260 Å
α = 61.40°, β = 61.40°, γ = 61.40°
Closest atoms and distances in Å follow each position.
Positions (direct):
H: 0.8666 0.3245 0.3245  2 Co 1.62
H: 0.6755 0.6755 0.1334  2 Co 1.62
H: 0.6097 0.1160 0.1160  1 Co 1.58
H: 0.3245 0.3245 0.8666  2 Co 1.62
H: 0.1160 0.1160 0.6097  1 Co 1.58
H: 0.8840 0.3903 0.8840  1 Co 1.58
H: 0.1334 0.6755 0.6755  2 Co 1.62
H: 0.8840 0.8840 0.3903  1 Co 1.58
H: 0.6755 0.1334 0.6755  2 Co 1.62
H: 0.1160 0.6097 0.1160  1 Co 1.58
H: 0.3903 0.8840 0.8840  1 Co 1.58
H: 0.3245 0.8666 0.3245  2 Co 1.62
Zn: 0.0000 0.0000 0.0000  6 H 1.86
Co: 0.0000 0.5000 0.0000  6 H 1.58-1.62
Co: 0.0000 0.0000 0.5000  6 H 1.58-1.62
Co: 0.5000 0.0000 0.0000  6 H 1.58-1.62
Np: 0.3880 0.3880 0.3880  9 H 2.24-2.45
Np: 0.6120 0.6120 0.6120  9 H 2.24-2.45

Summary:
Space group: R-3m
D(E_F): 0.700 states/eV/atom

***

no.,energy (eV per atom)
1,-4.823
2,-5.335
3,-7.155
4,-7.528
5,-4.955